The following is a GGA-PBE calculation of SnGe2Au8 after structural relaxation, from the Alexandria database.

Energy relative to the elements ... 1.1 eV per formula unit
Total DFT energy (no corrections) ... -3.4876 eV/atom
Total moment ... 0.00 μB per formula unit
Crystal system ... monoclinic

Cell and atoms, written as CIF:
```
data_SnGe2Au8
_chemical_formula_sum 'Sn2 Ge4 Au16'
_cell_length_a 4.975
_cell_length_b 21.298
_cell_length_c 4.853
_cell_angle_alpha 90.00
_cell_angle_beta 119.55
_cell_angle_gamma 90.00
_space_group_name_H-M_alt 'C 1 2/m 1'
_space_group_IT_number 12
loop_
_space_group_symop_operation_xyz
'x,y,z'
'-x,-y,-z'
'-x,y,-z'
'x,-y,z'
'x+1/2,y+1/2,z'
'-x+1/2,-y+1/2,-z'
'-x+1/2,y+1/2,-z'
'x+1/2,-y+1/2,z'
loop_
_atom_site_label
_atom_site_type_symbol
_atom_site_fract_x
_atom_site_fract_y
_atom_site_fract_z
Sn1 Sn 0.000 0.000 0.000
Ge1 Ge 0.000 0.267 0.500
Au1 Au 0.000 0.334 0.000
Au2 Au 0.164 0.124 0.332
Au3 Au 0.165 0.500 0.329
```